VASP calculation (PBE) on a geometry-optimized Nd2ThAg structure.

Summary:
Crystal system   tetragonal
Energy relative to the elements   -0.117 eV/atom
Energy relative to the lowest polymorph listed for this composition   0 meV/atom
Total DFT energy (no corrections)   -0.18626 hartree per atom

abc: 3.701 3.701 8.678
angles: 90.00 90.00 90.00
Space group P4/mmm (No. 123)
Symmetry-distinct sites (fractional):
Nd: 0.000 0.000 0.224 (multiplicity 2)
Th: 0.500 0.500 0.500 (multiplicity 1)
Ag: 0.500 0.500 0.000 (multiplicity 1)



VASP calculation (PBE) on a geometry-optimized NdThAg2 structure.

Summary:
Crystal system   tetragonal
Energy relative to the elements   -0.135 eV/atom
Energy relative to the lowest polymorph listed for this composition   0 meV/atom
Total DFT energy (no corrections)   -0.16934 hartree per atom

abc: 3.667 3.667 7.815
angles: 90.00 90.00 90.00
Space group P4/mmm (No. 123)
Symmetry-distinct sites (fractional):
Nd: 0.000 0.000 0.000 (multiplicity 1)
Th: 0.000 0.000 0.500 (multiplicity 1)
Ag: 0.500 0.500 0.246 (multiplicity 2)



VASP calculation (PBE) on a geometry-optimized NdTh2Ag structure.

Summary:
Crystal system   cubic
Energy relative to the elements   0.164 eV/atom
Energy relative to the lowest polymorph listed for this composition   123 meV/atom
Total DFT energy (no corrections)   -0.20031 hartree per atom

abc: 7.707 7.707 7.707
angles: 90.00 90.00 90.00
Space group Fm-3m (No. 225)
Symmetry-distinct sites (fractional):
Nd: 0.000 0.000 0.000 (multiplicity 4)
Th: 0.250 0.250 0.250 (multiplicity 8)
Ag: 0.000 0.000 0.500 (multiplicity 4)



VASP calculation (PBE) on a geometry-optimized NdTh2Ag structure.

Summary:
Crystal system   tetragonal
Energy relative to the elements   0.041 eV/atom
Energy relative to the lowest polymorph listed for this composition   0 meV/atom
Total DFT energy (no corrections)   -0.20482 hartree per atom

abc: 3.630 3.630 9.150
angles: 90.00 90.00 90.00
Space group P4/mmm (No. 123)
Symmetry-distinct sites (fractional):
Nd: 0.000 0.000 0.000 (multiplicity 1)
Th: 0.500 0.500 0.280 (multiplicity 2)
Ag: 0.000 0.000 0.500 (multiplicity 1)



VASP calculation (PBE) on a geometry-optimized NdThAg4 structure.

Summary:
Crystal system   cubic
Energy relative to the elements   -0.058 eV/atom
Energy relative to the lowest polymorph listed for this composition   140 meV/atom
Total DFT energy (no corrections)   -0.14662 hartree per atom

abc: 8.175 8.175 8.175
angles: 90.00 90.00 90.00
Space group F-43m (No. 216)
Symmetry-distinct sites (fractional):
Nd: 0.000 0.000 0.000 (multiplicity 4)
Th: 0.250 0.250 0.250 (multiplicity 4)
Ag: 0.125 0.125 0.625 (multiplicity 16)



VASP calculation (PBE) on a geometry-optimized Nd2ThAg3 structure.

Summary:
Crystal system   tetragonal
Energy relative to the elements   -0.175 eV/atom
Total DFT energy (no corrections)   -0.16269 hartree per atom

abc: 3.703 3.703 11.510
angles: 90.00 90.00 90.00
Space group P4/mmm (No. 123)
Symmetry-distinct sites (fractional):
Nd: 0.000 0.000 0.166 (multiplicity 2)
Th: 0.000 0.000 0.500 (multiplicity 1)
Ag: 0.500 0.500 0.000 (multiplicity 1)
Ag: 0.500 0.500 0.330 (multiplicity 2)